No. 1
Material: SrTiO
Method: DFT, PBE
State: optimized geometry Values from VASP.

Results
formation energy from raw total energies = -1.502 eV/atom
D(E_F) = 0.84 states/eV/atom
magnetic moment = 0.256 μB per atom
polymorph energy (0 for the lowest one) = 86 meV/atom

Geometry as Quantum ESPRESSO input:
```
&SYSTEM
  ibrav = 0, nat = 6, ntyp = 3
/
ATOMIC_SPECIES
Sr 87.62 Sr.upf
Ti 47.87 Ti.upf
O 16.00 O.upf
CELL_PARAMETERS angstrom
5.9909 -1.9894 0.0000
5.9909 1.9894 0.0000
-2.5381 0.0000 5.1214
ATOMIC_POSITIONS angstrom
Sr 0.0000 0.0000 0.0000
Sr 0.5808 0.0000 3.5883
Ti 4.2905 0.0000 2.1992
Ti 8.3510 0.0000 1.5606
O 6.4108 0.0000 1.8068
O 10.3002 0.0000 2.2301
```



No. 2
Material: DyErO3
Method: DFT, PBE
State: optimized geometry Values from VASP.

Results
formation energy from raw total energies = -3.416 eV/atom
D(E_F) = 0.00 states/eV/atom
magnetic moment = 0.000 μB per atom

Geometry as Quantum ESPRESSO input:
```
&SYSTEM
  ibrav = 0, nat = 10, ntyp = 3
/
ATOMIC_SPECIES
Dy 162.50 Dy.upf
Er 167.26 Er.upf
O 16.00 O.upf
CELL_PARAMETERS angstrom
2.7951 1.6138 5.4435
-2.7951 1.6138 5.4435
0.0000 -3.2275 5.4435
ATOMIC_POSITIONS angstrom
Dy 0.0000 0.0000 2.3779
Dy 0.0000 0.0000 13.9525
Er 0.0000 0.0000 5.7566
Er 0.0000 0.0000 10.5739
O -1.1541 -1.5932 6.7987
O -0.8027 -1.7961 9.5317
O -0.8027 1.7961 6.7987
O -1.1541 1.5932 9.5317
O 1.9568 -0.2029 6.7987
O 1.9568 0.2028 9.5317
```



No. 3
Material: Ca4Tb3PrTe8
Method: DFT, PBE
State: optimized geometry Values from VASP.

Results
formation energy from raw total energies = -1.478 eV/atom
D(E_F) = 0.38 states/eV/atom
magnetic moment = 0.000 μB per atom

Geometry as Quantum ESPRESSO input:
```
&SYSTEM
  ibrav = 0, nat = 16, ntyp = 4
/
ATOMIC_SPECIES
Ca 40.08 Ca.upf
Tb 158.93 Tb.upf
Pr 140.91 Pr.upf
Te 127.60 Te.upf
CELL_PARAMETERS angstrom
4.4184 2.5510 7.3902
-4.4184 2.5510 7.3902
0.0000 -5.1019 7.3902
ATOMIC_POSITIONS angstrom
Ca 0.0000 0.0000 0.0000
Ca -2.2092 -1.2755 7.3902
Ca -2.2092 1.2755 14.7803
Ca 0.0000 2.5510 7.3902
Tb -4.4184 0.0000 11.0853
Tb -2.2092 1.2755 3.6951
Tb 2.2092 1.2755 3.6951
Pr 0.0000 0.0000 11.0853
Te -2.2509 -1.2996 12.9335
Te 0.0000 -2.5992 9.2371
Te -2.2509 1.2996 9.2371
Te 0.0000 0.0000 5.5096
Te 0.0000 0.0000 16.6609
Te 2.2509 -1.2996 12.9335
Te 0.0000 2.5992 12.9335
Te 2.2509 1.2996 9.2371
```



No. 4
Material: Y2TaAlN
Method: DFT, PBE
State: optimized geometry Values from VASP.

Results
formation energy from raw total energies = -0.708 eV/atom
D(E_F) = 0.57 states/eV/atom
magnetic moment = 0.000 μB per atom

Geometry as Quantum ESPRESSO input:
```
&SYSTEM
  ibrav = 0, nat = 5, ntyp = 4
/
ATOMIC_SPECIES
Y 88.91 Y.upf
Ta 180.95 Ta.upf
Al 26.98 Al.upf
N 14.01 N.upf
CELL_PARAMETERS angstrom
4.8559 0.0000 0.0000
0.0000 4.8559 0.0000
0.0000 0.0000 4.1622
ATOMIC_POSITIONS angstrom
Y 0.0000 2.4280 0.0000
Y 2.4280 0.0000 0.0000
Ta 0.0000 0.0000 2.0811
Al 2.4280 2.4280 2.0811
N 0.0000 0.0000 0.0000
```



What is the D(E_F) in the fourth record? 0.57 states/eV/atom